Entry 1:
Compound: Nb2SnBi2
Source: the Alexandria database
Functional: GGA-PBE
Structure: optimized geometry

Output
The total moment is 0.0 μB/f.u. The calculation puts the energy of formation from the pure elements at 218 meV per atom. For the energy, the calculation gives -6.1626 eV per atom.

Unit cell a=7.7131 b=7.7131 c=3.9514 alpha=90.00 beta=90.00 gamma=90.00
With the nearest neighbours (Å) after each atom.
Sites, in units of the cell vectors:
Nb 0.1411 0.3589 0.0000  2 Sn 2.97, 6 Bi 2.98-3.02, 1 Nb 3.08
Nb 0.3589 0.8589 0.0000  2 Sn 2.97, 6 Bi 2.98-3.02, 1 Nb 3.08
Nb 0.6411 0.1411 0.0000  2 Sn 2.97, 6 Bi 2.98-3.02, 1 Nb 3.08
Nb 0.8589 0.6411 0.0000  2 Sn 2.97, 6 Bi 2.98-3.02, 1 Nb 3.08
Sn 0.0000 0.0000 0.0000  4 Nb 2.97
Sn 0.5000 0.5000 0.0000  4 Nb 2.97
Bi 0.1545 0.6545 0.5000  6 Nb 2.98-3.02
Bi 0.3455 0.1545 0.5000  6 Nb 2.98-3.02
Bi 0.6545 0.8455 0.5000  6 Nb 2.98-3.02
Bi 0.8455 0.3455 0.5000  6 Nb 2.98-3.02

***

Entry 2:
Compound: CsTl2Ge
Source: the Alexandria database
Functional: GGA-PBE
Structure: optimized geometry

Output
The total moment is 0.0 μB/f.u. The calculation puts the energy of formation from the pure elements at 1 meV per atom. For the energy, the calculation gives -2.5496 eV per atom.

Unit cell a=8.2105 b=8.2105 c=8.2105 alpha=34.00 beta=34.00 gamma=34.00
With the nearest neighbours (Å) after each atom.
Sites, in units of the cell vectors:
Cs 0.0000 0.0000 0.0000  6 Tl 3.80-3.94, 1 Ge 4.11
Tl 0.5545 0.5545 0.5545  3 Ge 2.95
Tl 0.7874 0.7874 0.7874  3 Ge 3.06
Ge 0.1771 0.1771 0.1771  6 Tl 2.95-3.06